Entry 1:
Fe5Ag | PBE-GGA | optimized geometry

Results
energy of formation from the pure elements: 0.271 eV per atom
symmetry: No. 216

Lattice parameters (Å, degrees): 4.758 4.758 4.758 60.00 60.00 60.00
Sites, in units of the cell vectors:
1 Fe 0.000 0.000 0.000
2 Fe 0.374 0.374 0.374
3 Fe 0.374 0.374 0.877
4 Fe 0.374 0.877 0.374
5 Fe 0.877 0.374 0.374
6 Ag 0.750 0.750 0.750

Entry 2:
K2Tl2CdPb | PBE-GGA | optimized geometry

Results
energy of formation from the pure elements: -0.116 eV per atom
symmetry: No. 72

Lattice parameters (Å, degrees): 10.114 10.114 10.114 139.25 58.77 139.54
Sites, in units of the cell vectors:
1 K 0.168 0.237 0.405
2 K 0.332 0.737 0.069
3 K 0.668 0.263 0.931
4 K 0.832 0.763 0.595
5 Tl 0.116 0.732 0.847
6 Tl 0.384 0.232 0.616
7 Tl 0.616 0.768 0.384
8 Tl 0.884 0.268 0.153
9 Cd 0.250 0.750 0.500
10 Cd 0.750 0.250 0.500
11 Pb 0.250 0.250 0.000
12 Pb 0.750 0.750 0.000

Entry 3:
FePC2 | PBE-GGA | optimized geometry

Results
energy of formation from the pure elements: 0.358 eV per atom
symmetry: No. 1

Lattice parameters (Å, degrees): 2.550 3.109 4.800 99.88 93.41 93.35
Sites, in units of the cell vectors:
1 Fe 0.000 0.000 0.000
2 P 0.518 0.562 0.240
3 C 0.058 0.415 0.732
4 C 0.560 0.528 0.620

Entry 4:
KFeAs2 | PBE-GGA | optimized geometry

Results
energy of formation from the pure elements: -0.073 eV per atom
distance to the lowest polymorph of the same formula: 72 meV per atom
symmetry: No. 123

Lattice parameters (Å, degrees): 3.027 3.027 8.094 90.00 90.00 90.00
Sites, in units of the cell vectors:
1 K 0.000 0.000 0.000
2 Fe 0.000 0.000 0.500
3 As 0.500 0.500 0.323
4 As 0.500 0.500 0.677

Entry 5:
Zr4ZnCo2 | PBE-GGA | optimized geometry

Results
energy of formation from the pure elements: -0.063 eV per atom
distance to the lowest polymorph of the same formula: 86 meV per atom
symmetry: No. 166

Lattice parameters (Å, degrees): 8.933 8.933 8.933 27.74 27.74 27.74
Sites, in units of the cell vectors:
1 Zr 0.115 0.115 0.115
2 Zr 0.296 0.296 0.296
3 Zr 0.704 0.704 0.704
4 Zr 0.885 0.885 0.885
5 Zn 0.500 0.500 0.500
6 Co 0.403 0.403 0.403
7 Co 0.597 0.597 0.597

Entry 6:
BaTe3 | PBE-GGA | optimized geometry

Results
formation energy (no corrections): -2.854 eV per formula unit
symmetry: No. 166

Lattice parameters (Å, degrees): 9.707 9.707 5.831 90.00 90.00 120.00
Sites, in units of the cell vectors:
1 Ba 0.000 0.000 0.000
2 Ba 0.333 0.667 0.667
3 Ba 0.667 0.333 0.333
4 Te 0.000 0.500 0.000
5 Te 0.167 0.333 0.333
6 Te 0.167 0.833 0.333
7 Te 0.333 0.167 0.667
8 Te 0.500 0.000 0.000
9 Te 0.500 0.500 0.000
10 Te 0.667 0.833 0.333
11 Te 0.833 0.167 0.667
12 Te 0.833 0.667 0.667

Entry 7:
ZnTePd | PBE-GGA | optimized geometry

Results
formation energy (no corrections): -0.967 eV per formula unit
symmetry: No. 216

Lattice parameters (Å, degrees): 6.316 6.316 6.316 90.00 90.00 90.00
Sites, in units of the cell vectors:
1 Zn 0.000 0.000 0.000
2 Zn 0.000 0.500 0.500
3 Zn 0.500 0.000 0.500
4 Zn 0.500 0.500 0.000
5 Te 0.000 0.000 0.500
6 Te 0.000 0.500 0.000
7 Te 0.500 0.000 0.000
8 Te 0.500 0.500 0.500
9 Pd 0.250 0.250 0.750
10 Pd 0.250 0.750 0.250
11 Pd 0.750 0.250 0.250
12 Pd 0.750 0.750 0.750

Entry 8:
LaTb2PrSm6 | PBE-GGA | optimized geometry

Results
energy of formation from the pure elements: 0.118 eV per atom
symmetry: No. 15

Lattice parameters (Å, degrees): 8.958 8.958 9.784 93.86 93.86 117.53
Sites, in units of the cell vectors:
1 La 0.094 0.906 0.750
2 La 0.906 0.094 0.250
3 Tb 0.204 0.304 0.953
4 Tb 0.304 0.204 0.453
5 Tb 0.696 0.796 0.547
6 Tb 0.796 0.696 0.047
7 Pr 0.470 0.530 0.250
8 Pr 0.530 0.470 0.750
9 Sm 0.012 0.795 0.380
10 Sm 0.066 0.523 0.179
11 Sm 0.205 0.988 0.120
12 Sm 0.254 0.613 0.557
13 Sm 0.387 0.746 0.943
14 Sm 0.477 0.934 0.321
15 Sm 0.523 0.066 0.679
16 Sm 0.613 0.254 0.057
17 Sm 0.746 0.387 0.443
18 Sm 0.795 0.012 0.880
19 Sm 0.934 0.477 0.821
20 Sm 0.988 0.205 0.620

Entry 9:
LiNdSmZn | PBE-GGA | optimized geometry

Results
energy of formation from the pure elements: -0.119 eV per atom
distance to the lowest polymorph of the same formula: 0 meV per atom
symmetry: No. 99

Lattice parameters (Å, degrees): 3.731 3.731 7.454 90.00 90.00 90.00
Sites, in units of the cell vectors:
1 Li 0.000 0.000 0.000
2 Nd 0.500 0.500 0.729
3 Sm 0.500 0.500 0.263
4 Zn 0.000 0.000 0.491

Entry 10:
TaFeBr2 | PBE-GGA | optimized geometry

Results
formation energy (no corrections): 0.237 eV per formula unit
distance to the lowest polymorph of the same formula: 46 meV per atom
symmetry: No. 71

Lattice parameters (Å, degrees): 3.260 4.050 15.707 90.00 90.00 90.00
Sites, in units of the cell vectors:
1 Ta 0.000 0.000 0.000
2 Ta 0.500 0.500 0.500
3 Fe 0.000 0.000 0.500
4 Fe 0.500 0.500 0.000
5 Br 0.000 0.500 0.362
6 Br 0.000 0.500 0.638
7 Br 0.500 0.000 0.138
8 Br 0.500 0.000 0.862

| no. | V (Å³/cell) |
| --- | --- |
| 1 | 76 |
| 2 | 434 |
| 3 | 37 |
| 4 | 74 |
| 5 | 136 |
| 6 | 476 |
| 7 | 252 |
| 8 | 690 |
| 9 | 104 |
| 10 | 207 |